(1)
TbSmIr | PBE | optimized geometry

a b c (Å): 4.7439 4.7439 4.7439
angles (deg): 60.00 60.00 60.00
Closest atoms and distances in Å follow each position.
Atoms (fractional coordinates):
Ir 0.2500 0.2500 0.2500  4 Sm 2.91
Tb 0.7500 0.7500 0.7500  4 Sm 2.91
Sm 0.0000 0.0000 0.0000  4 Tb 2.91, 4 Ir 2.91

- ΔH_f (0 K) (meV/atom) = 211
- SG = F-43m


(2)
Ho3SbN2 | PBE | optimized geometry

a b c (Å): 3.5149 3.5149 10.1313
angles (deg): 90.00 90.00 120.00
Closest atoms and distances in Å follow each position.
Atoms (fractional coordinates):
N 0.3333 0.6667 0.8570  6 Ho 2.36-2.49
N 0.6667 0.3333 0.1430  6 Ho 2.36-2.49
Ho 0.0000 0.0000 0.0000  6 N 2.49
Sb 0.0000 0.0000 0.5000  6 Ho 3.15, 6 Sb 3.51
Ho 0.6667 0.3333 0.7381  3 N 2.36
Ho 0.3333 0.6667 0.2619  3 N 2.36

- SG = P-3m1
- E (eV per atom) = -7.15


| no. | calculated volume (Å³ per atom) |
| --- | --- |
| 1 | 25.16 |
| 2 | 18.07 |